First-principles (PBE with a Hubbard U) data for Mo3NF after structural relaxation, as listed in Alexandria.

```
5
Lattice="4.1463 0.0000 0.0000 0.0000 4.1463 0.0000 0.0000 0.0000 4.1463" Properties=species:S:1:pos:R:3 pbc="T T T"
Mo 0.0000 0.0000 2.0732
Mo 0.0000 2.0732 0.0000
Mo 2.0732 0.0000 0.0000
N 0.0000 0.0000 0.0000
F 2.0732 2.0732 2.0732
```

Results
Total DFT energy (no corrections) (eV/atom): -5.341
DOS(E_F) (states/eV per cell): 3.0
Total magnetic moment (μB per formula unit): 0.00